[1]
# TlNiS2 (PBE, relaxed)
data_TlNiS2
_symmetry_space_group_name_H-M 'R -3 m'
_symmetry_Int_Tables_number 166
_symmetry_space_group_name_Hall '-R 3 2"'
_cell_length_a 3.3972
_cell_length_b 3.3972
_cell_length_c 25.3170
_cell_angle_alpha 90.00
_cell_angle_beta 90.00
_cell_angle_gamma 120.00
loop_
_atom_site_label
_atom_site_type_symbol
_atom_site_fract_x
_atom_site_fract_y
_atom_site_fract_z
Tl1 Tl 0.0000 0.0000 0.0000
Ni1 Ni 0.0000 0.0000 0.5000
S1 S 0.0000 0.0000 0.1206
# - E_form (uncorrected): -0.23 eV/atom



[2]
# TlNiS6 (PBE, relaxed)
data_TlNiS6
_symmetry_space_group_name_H-M 'P -1'
_symmetry_Int_Tables_number 2
_cell_length_a 4.671
_cell_length_b 5.762
_cell_length_c 7.266
_cell_angle_alpha 81.21
_cell_angle_beta 85.85
_cell_angle_gamma 72.30
loop_
_symmetry_equiv_pos_as_xyz
'x,y,z'
'-x,-y,-z'
loop_
_atom_site_label
_atom_site_type_symbol
_atom_site_fract_x
_atom_site_fract_y
_atom_site_fract_z
Tl1 Tl 0.000 0.000 0.000
Ni1 Ni 0.500 0.500 0.000
S1 S 0.206 0.931 0.463
S2 S 0.212 0.400 0.233
S3 S 0.238 0.456 0.772
# - E_form (uncorrected): -0.02 eV/atom



[3]
# TlNiS2 (PBE, relaxed)
data_TlNiS2
_symmetry_space_group_name_H-M 'P n m a'
_symmetry_Int_Tables_number 62
_cell_length_a 7.067
_cell_length_b 3.963
_cell_length_c 11.542
_cell_angle_alpha 90.00
_cell_angle_beta 90.00
_cell_angle_gamma 90.00
loop_
_symmetry_equiv_pos_as_xyz
'x,y,z'
'-x,-y,-z'
'-x+1/2,-y,z+1/2'
'x+1/2,y,-z+1/2'
'x+1/2,-y+1/2,-z+1/2'
'-x+1/2,y+1/2,z+1/2'
'-x,y+1/2,-z'
'x,-y+1/2,z'
loop_
_atom_site_label
_atom_site_type_symbol
_atom_site_fract_x
_atom_site_fract_y
_atom_site_fract_z
Tl1 Tl 0.086 0.250 0.124
Ni1 Ni 0.054 0.750 0.383
S1 S 0.129 0.250 0.459
S2 S 0.188 0.250 0.759
# - E_form (uncorrected): -0.22 eV/atom



[4]
# TlNiS3 (PBE, relaxed)
data_TlNiS3
_symmetry_space_group_name_H-M 'P m -3 m'
_symmetry_Int_Tables_number 221
_symmetry_space_group_name_Hall '-P 4 2 3'
_cell_length_a 4.559
_cell_length_b 4.559
_cell_length_c 4.559
_cell_angle_alpha 90.00
_cell_angle_beta 90.00
_cell_angle_gamma 90.00
loop_
_atom_site_label
_atom_site_type_symbol
_atom_site_fract_x
_atom_site_fract_y
_atom_site_fract_z
Tl1 Tl 0.000 0.000 0.000
Ni1 Ni 0.500 0.500 0.500
S1 S 0.000 0.500 0.500
# - E_form (uncorrected): 0.23 eV/atom
# - Distance to the lowest polymorph of the same formula: 0.00 eV/f.u.



no.,VASP energy (eV/atom)
1,-4.3268
2,-4.1384
3,-4.3205
4,-3.8726